! Hf6Au2C PBE relaxed; values from VASP
&SYSTEM
  ibrav = 0, nat = 18, ntyp = 3
/
ATOMIC_SPECIES
Hf 178.49 Hf.upf
Au 196.97 Au.upf
C 12.01 C.upf
CELL_PARAMETERS angstrom
5.8839 0.0000 0.0000
0.0000 6.4100 0.0000
-5.4408 0.0000 9.3951
ATOMIC_POSITIONS crystal
Hf 0.1223 0.0092 0.2390
Hf 0.1223 0.4908 0.7390
Hf 0.2066 0.6889 0.0350
Hf 0.2066 0.8111 0.5350
Hf 0.3567 0.1953 0.0387
Hf 0.3567 0.3047 0.5387
Hf 0.6433 0.6953 0.4613
Hf 0.6433 0.8047 0.9613
Hf 0.7934 0.1889 0.4650
Hf 0.7934 0.3111 0.9650
Hf 0.8777 0.5092 0.2610
Hf 0.8777 0.9908 0.7610
Au 0.3342 0.0938 0.7567
Au 0.3342 0.4062 0.2567
Au 0.6658 0.5938 0.7433
Au 0.6658 0.9062 0.2433
C 0.0000 0.0000 0.0000
C 0.0000 0.5000 0.5000
! energy of formation: -0.38 eV per atom